w) The following is a DFT calculation (GGA-PBE) of a relaxed structure of SnSbPd2.

Cell lengths 4.1109, 4.1109, 17.5397 Å; angles 90.00, 90.00, 120.00 degrees
Space group R3m (No. 160, hexagonal axes)
One atom of each set of equivalent atoms:
Sn (0.0000, 0.0000, 0.0000) x3
Sb (0.0000, 0.0000, 0.1751) x3
Pd (0.0000, 0.0000, 0.4210) x3
Pd (0.0000, 0.0000, 0.5886) x3

## Properties
The density of states at the Fermi level is 0.601 states/eV/atom.

---

x) The following is a DFT calculation (GGA-PBE) of a relaxed structure of SnSbPd2.

Cell lengths 7.453, 7.453, 6.132 Å; angles 90.00, 90.00, 90.00 degrees
Space group I-42d (No. 122)
One atom of each set of equivalent atoms:
Sn (0.000, 0.000, 0.000) x4
Sb (0.000, 0.000, 0.500) x4
Pd (0.250, 0.250, 0.125) x8

## Properties
The density of states at the Fermi level is 0.624 states/eV/atom.

---

y) The following is a DFT calculation (GGA-PBE) of a relaxed structure of SnSbPd2.

Cell lengths 3.3177, 3.3177, 24.9692 Å; angles 90.00, 90.00, 120.00 degrees
Space group R-3m (No. 166, hexagonal axes)
One atom of each set of equivalent atoms:
Sn (0.0000, 0.0000, 0.0000) x3
Sb (0.0000, 0.0000, 0.5000) x3
Pd (0.0000, 0.0000, 0.2501) x6

## Properties
The density of states at the Fermi level is 0.539 states/eV/atom.

---

Relative energies with respect to the most stable structure, expressed in meV/atom: w) 21; x) 184; y) 0.

---

w) The following is a DFT calculation (GGA-PBE) of a relaxed structure of SnSbPd2.

Cell lengths 6.781, 6.781, 6.781 Å; angles 90.00, 90.00, 90.00 degrees
Space group Fm-3m (No. 225)
One atom of each set of equivalent atoms:
Sn (0.000, 0.000, 0.000) x4
Sb (0.000, 0.000, 0.500) x4
Pd (0.250, 0.250, 0.250) x8

## Properties
The density of states at the Fermi level is 0.676 states/eV/atom.

---

x) The following is a DFT calculation (GGA-PBE) of a relaxed structure of SnSbPd2.

Cell lengths 3.379, 3.379, 6.822 Å; angles 90.00, 90.00, 90.00 degrees
Space group P4/mmm (No. 123)
One atom of each set of equivalent atoms:
Sn (0.000, 0.000, 0.000) x1
Sb (0.000, 0.000, 0.500) x1
Pd (0.500, 0.500, 0.238) x2

## Properties
The density of states at the Fermi level is 0.232 states/eV/atom.

---

y) The following is a DFT calculation (GGA-PBE) of a relaxed structure of SnSbPd2.

Cell lengths 6.986, 4.949, 9.852 Å; angles 90.00, 90.00, 90.00 degrees
Space group Pnma (No. 62)
One atom of each set of equivalent atoms:
Sn (0.101, 0.250, 0.165) x4
Sb (0.057, 0.750, 0.378) x4
Pd (0.053, 0.250, 0.895) x4
Pd (0.221, 0.250, 0.428) x4

## Properties
The density of states at the Fermi level is 0.387 states/eV/atom.

---

Relative energies with respect to the most stable structure, expressed in meV/atom: w) 69; x) 48; y) 0.

---

w) The following is a DFT calculation (GGA-PBE) of a relaxed structure of Sn3SbPd3.

Cell lengths 8.1587, 8.1587, 16.5427 Å; angles 90.00, 90.00, 120.00 degrees
Space group R-3 (No. 148, hexagonal axes)
One atom of each set of equivalent atoms:
Sn (0.0107, 0.7239, 0.1061) x18
Sb (0.0000, 0.0000, 0.3351) x6
Pd (0.0077, 0.6397, 0.9376) x18

## Properties
The density of states at the Fermi level is 0.481 states/eV/atom.

---

x) The following is a DFT calculation (GGA-PBE) of a relaxed structure of Sn3SbPd3.

Cell lengths 8.607, 11.373, 6.276 Å; angles 90.00, 91.66, 90.00 degrees
Space group C2/m (No. 12)
One atom of each set of equivalent atoms:
Sn (0.000, 0.207, 0.000) x4
Sn (0.000, 0.228, 0.500) x4
Sn (0.194, 0.500, 0.986) x4
Sb (0.226, 0.500, 0.506) x4
Pd (0.020, 0.000, 0.752) x4
Pd (0.237, 0.303, 0.243) x8

## Properties
The density of states at the Fermi level is 0.347 states/eV/atom.

---

Relative energies with respect to the most stable structure, expressed in meV/atom: w) 11; x) 0.

---

w) The following is a DFT calculation (GGA-PBE) of a relaxed structure of Sn3SbPd.

Cell lengths 5.224, 5.224, 5.224 Å; angles 90.00, 90.00, 90.00 degrees
Space group Pm-3m (No. 221)
One atom of each set of equivalent atoms:
Sn (0.000, 0.000, 0.500) x3
Sb (0.500, 0.500, 0.500) x1
Pd (0.000, 0.000, 0.000) x1

## Properties
The density of states at the Fermi level is 0.396 states/eV/atom.

---

x) The following is a DFT calculation (GGA-PBE) of a relaxed structure of Sn3SbPd.

Cell lengths 10.957, 8.829, 6.652 Å; angles 90.00, 126.42, 90.00 degrees
Space group C2/m (No. 12)
One atom of each set of equivalent atoms:
Sn (0.048, 0.000, 0.314) x4
Sn (0.245, 0.303, 0.765) x8
Sb (0.048, 0.500, 0.283) x4
Pd (0.248, 0.500, 0.132) x4

## Properties
The density of states at the Fermi level is 0.363 states/eV/atom.

---

y) The following is a DFT calculation (GGA-PBE) of a relaxed structure of Sn3SbPd.

Cell lengths 11.992, 5.088, 8.968 Å; angles 90.00, 93.97, 90.00 degrees
Space group C2/m (No. 12)
One atom of each set of equivalent atoms:
Sn (0.072, 0.000, 0.149) x4
Sn (0.110, 0.500, 0.886) x4
Sn (0.123, 0.500, 0.493) x4
Sb (0.157, 0.000, 0.679) x4
Pd (0.131, 0.500, 0.192) x4

## Properties
The density of states at the Fermi level is 0.484 states/eV/atom.

---

Relative energies with respect to the most stable structure, expressed in meV/atom: w) 171; x) 0; y) 22.

---

w) The following is a DFT calculation (GGA-PBE) of a relaxed structure of SnSbPd3.

Cell lengths 6.071, 7.617, 8.664 Å; angles 90.00, 90.00, 90.00 degrees
Space group Pnma (No. 62)
One atom of each set of equivalent atoms:
Sn (0.000, 0.000, 0.000) x4
Sb (0.002, 0.250, 0.453) x4
Pd (0.001, 0.750, 0.240) x4
Pd (0.249, 0.564, 0.749) x8

## Properties
The density of states at the Fermi level is 0.549 states/eV/atom.

---

x) The following is a DFT calculation (GGA-PBE) of a relaxed structure of SnSbPd3.

Cell lengths 4.387, 4.537, 5.614 Å; angles 94.36, 90.20, 118.47 degrees
Space group P1 (No. 1)
One atom of each set of equivalent atoms:
Sn (0.000, 0.000, 0.000) x1
Sb (0.312, 0.618, 0.492) x1
Pd (0.328, 0.653, 0.981) x1
Pd (0.623, 0.247, 0.719) x1
Pd (0.695, 0.381, 0.239) x1

## Properties
The density of states at the Fermi level is 0.462 states/eV/atom.

---

y) The following is a DFT calculation (GGA-PBE) of a relaxed structure of SnSbPd3.

Cell lengths 4.957, 4.957, 4.957 Å; angles 90.00, 90.00, 90.00 degrees
Space group Pm-3m (No. 221)
One atom of each set of equivalent atoms:
Sn (0.000, 0.000, 0.000) x1
Sb (0.500, 0.500, 0.500) x1
Pd (0.000, 0.500, 0.500) x3

## Properties
The density of states at the Fermi level is 0.411 states/eV/atom.

---

Relative energies with respect to the most stable structure, expressed in meV/atom: w) 103; x) 0; y) 594.

---

w) The following is a DFT calculation (GGA-PBE) of a relaxed structure of SnSbPd4.

Cell lengths 7.488, 3.258, 17.316 Å; angles 90.00, 90.00, 90.00 degrees
Space group Pnma (No. 62)
One atom of each set of equivalent atoms:
Sn (0.242, 0.250, 0.190) x4
Sb (0.249, 0.750, 0.439) x4
Pd (0.050, 0.750, 0.566) x4
Pd (0.058, 0.750, 0.297) x4
Pd (0.109, 0.750, 0.830) x4
Pd (0.113, 0.750, 0.060) x4

## Properties
The density of states at the Fermi level is 0.282 states/eV/atom.

---

x) The following is a DFT calculation (GGA-PBE) of a relaxed structure of SnSbPd4.

Cell lengths 4.708, 4.724, 5.630 Å; angles 89.27, 89.85, 60.16 degrees
Space group P-1 (No. 2)
One atom of each set of equivalent atoms:
Sn (0.000, 0.000, 0.000) x1
Sb (0.500, 0.000, 0.500) x1
Pd (0.173, 0.653, 0.589) x2
Pd (0.329, 0.341, 0.091) x2

## Properties
The density of states at the Fermi level is 0.380 states/eV/atom.

---

Relative energies with respect to the most stable structure, expressed in meV/atom: w) 0; x) 44.

---

w) The following is a DFT calculation (GGA-PBE) of a relaxed structure of SrSb3Pd.

Cell lengths 6.263, 6.448, 6.913 Å; angles 90.04, 90.23, 90.02 degrees
Space group P1 (No. 1)
One atom of each set of equivalent atoms:
Sr (0.000, 0.000, 0.000) x1
Sr (0.315, 0.502, 0.402) x1
Sb (0.070, 0.954, 0.491) x1
Sb (0.246, 0.453, 0.910) x1
Sb (0.472, 0.073, 0.708) x1
Sb (0.480, 0.022, 0.236) x1
Sb (0.835, 0.517, 0.163) x1
Sb (0.843, 0.574, 0.693) x1
Pd (0.546, 0.746, 0.946) x1
Pd (0.770, 0.246, 0.457) x1

## Properties
The density of states at the Fermi level is 0.489 states/eV/atom.

---

x) The following is a DFT calculation (GGA-PBE) of a relaxed structure of SrSb3Pd.

Cell lengths 5.936, 5.936, 5.936 Å; angles 90.00, 90.00, 90.00 degrees
Space group Pm-3m (No. 221)
One atom of each set of equivalent atoms:
Sr (0.000, 0.000, 0.000) x1
Sb (0.000, 0.000, 0.500) x3
Pd (0.500, 0.500, 0.500) x1

## Properties
The density of states at the Fermi level is 1.182 states/eV/atom.

---

y) The following is a DFT calculation (GGA-PBE) of a relaxed structure of SrSb3Pd.

Cell lengths 5.346, 5.346, 5.346 Å; angles 90.00, 90.00, 90.00 degrees
Space group Pm-3m (No. 221)
One atom of each set of equivalent atoms:
Sr (0.000, 0.000, 0.000) x1
Sb (0.000, 0.500, 0.500) x3
Pd (0.500, 0.500, 0.500) x1

## Properties
The density of states at the Fermi level is 0.798 states/eV/atom.

---

Relative energies with respect to the most stable structure, expressed in meV/atom: w) 0; x) 1650; y) 295.

---

w) The following is a DFT calculation (GGA-PBE) of a relaxed structure of Sr2SbPd2.

Cell lengths 3.902, 3.902, 18.189 Å; angles 90.00, 90.00, 90.00 degrees
Space group I4/mmm (No. 139)
One atom of each set of equivalent atoms:
Sr (0.000, 0.000, 0.116) x4
Sb (0.000, 0.000, 0.500) x2
Pd (0.000, 0.500, 0.250) x4

## Properties
The density of states at the Fermi level is 0.455 states/eV/atom.

---

x) The following is a DFT calculation (GGA-PBE) of a relaxed structure of Sr2SbPd2.

Cell lengths 10.301, 5.966, 8.594 Å; angles 90.00, 103.35, 90.00 degrees
Space group C2/c (No. 15)
One atom of each set of equivalent atoms:
Sr (0.150, 0.142, 0.151) x8
Sb (0.000, 0.345, 0.750) x4
Pd (0.130, 0.373, 0.493) x8

## Properties
The density of states at the Fermi level is 0.649 states/eV/atom.

---

Relative energies with respect to the most stable structure, expressed in meV/atom: w) 233; x) 0.

---

w) The following is a DFT calculation (GGA-PBE) of a relaxed structure of Sr2SbPd2.

Cell lengths 7.511, 7.511, 4.567 Å; angles 90.00, 90.00, 90.00 degrees
Space group P4/mbm (No. 127)
One atom of each set of equivalent atoms:
Sr (0.178, 0.322, 0.000) x4
Sb (0.000, 0.000, 0.500) x2
Pd (0.132, 0.632, 0.500) x4

## Properties
The density of states at the Fermi level is 0.604 states/eV/atom.

---

x) The following is a DFT calculation (GGA-PBE) of a relaxed structure of Sr2SbPd2.

Cell lengths 5.975, 5.975, 7.965 Å; angles 90.00, 90.00, 90.00 degrees
Space group I4/mmm (No. 139)
One atom of each set of equivalent atoms:
Sr (0.000, 0.500, 0.250) x4
Sb (0.000, 0.000, 0.000) x2
Pd (0.000, 0.000, 0.336) x4

## Properties
The density of states at the Fermi level is 0.550 states/eV/atom.

---

Relative energies with respect to the most stable structure, expressed in meV/atom: w) 0; x) 91.